1.
12
Lattice="6.213 0.000 0.000 0.000 8.747 0.000 -2.538 0.000 6.683" Properties=species:S:1:pos:R:3 comment="KTl2RuCl8, optimized geometry, DFT PBE" raw_formation_energy_mev_per_atom=-886.8 space_group="No. 10" pbc="T T T"
K 0.000 0.000 0.000
Tl -1.269 2.211 3.342
Tl -1.269 6.537 3.342
Ru 0.000 4.374 0.000
Cl 0.886 2.713 1.430
Cl 0.886 6.034 1.430
Cl -0.605 4.374 5.385
Cl -0.081 0.000 4.681
Cl 3.757 0.000 2.002
Cl 4.281 4.374 1.298
Cl 2.790 2.713 5.253
Cl 2.790 6.034 5.253



2.
5
Lattice="-2.732 2.732 5.842 2.732 -2.732 5.842 2.732 2.732 -5.842" Properties=species:S:1:pos:R:3 comment="BaLa2Pt2, optimized geometry, DFT PBE" e_above_lowest_polymorph_ev_per_atom=0.116 formation_enthalpy_0k_ev_per_atom=-0.69 space_group="No. 139" pbc="T T T"
Ba 0.000 0.000 0.000
La 0.000 0.000 3.819
La 0.000 0.000 7.865
Pt 2.732 0.000 2.921
Pt 0.000 2.732 2.921



3.
5
Lattice="3.894 0.000 0.000 0.000 3.894 0.000 0.000 0.000 3.876" Properties=species:S:1:pos:R:3 comment="GaRuO2F, optimized geometry, DFT PBE" raw_formation_energy_mev_per_atom=-667.7 space_group="No. 123" pbc="T T T"
Ga 0.000 0.000 0.000
Ru 1.947 1.947 1.938
O 0.000 1.947 0.000
O 1.947 0.000 0.000
F 0.000 0.000 1.938



4.
5
Lattice="4.966 0.000 0.000 0.000 4.966 0.000 0.000 0.000 4.966" Properties=species:S:1:pos:R:3 comment="RbHOs3, optimized geometry, DFT PBE" e_above_lowest_polymorph_ev_per_atom=2.796 space_group="No. 221" pbc="T T T"
Rb 0.000 0.000 0.000
H 2.483 2.483 2.483
Os 0.000 0.000 2.483
Os 0.000 2.483 0.000
Os 2.483 0.000 0.000



5.
14
Lattice="-2.425 5.468 6.992 2.425 -5.468 6.992 2.425 5.468 -6.992" Properties=species:S:1:pos:R:3 comment="K3Cd9Pd2, optimized geometry, DFT PBE" formation_enthalpy_0k_ev_per_atom=-0.12 space_group="No. 71" pbc="T T T"
K 0.000 0.000 0.000
K 0.000 0.000 4.379
K 0.000 0.000 9.605
Cd 2.425 -1.565 2.357
Cd 2.425 -2.410 5.376
Cd 2.425 1.565 2.357
Cd 0.000 3.058 1.616
Cd 0.000 5.468 0.000
Cd 2.425 2.410 5.376
Cd 0.000 3.904 4.635
Cd 0.000 7.878 1.616
Cd 0.000 7.033 4.635
Pd 2.425 3.177 0.000
Pd 0.000 2.291 6.992



6.
4
Lattice="2.840 0.000 0.000 0.000 2.840 0.000 0.000 0.000 7.671" Properties=species:S:1:pos:R:3 comment="NbMoRu2, optimized geometry, DFT PBE" e_above_lowest_polymorph_ev_per_atom=0.000 formation_enthalpy_0k_ev_per_atom=-0.03 space_group="No. 123" pbc="T T T"
Nb 0.000 0.000 0.000
Mo 0.000 0.000 3.836
Ru 1.420 1.420 2.013
Ru 1.420 1.420 5.658



7.
4
Lattice="4.875 0.000 0.000 0.000 4.875 0.000 0.000 0.000 4.581" Properties=species:S:1:pos:R:3 comment="CeHoSc2, optimized geometry, DFT PBE" e_above_lowest_polymorph_ev_per_atom=0.009 formation_enthalpy_0k_ev_per_atom=0.07 space_group="No. 123" pbc="T T T"
Ce 0.000 0.000 0.000
Ho 2.438 2.438 0.000
Sc 0.000 2.438 2.290
Sc 2.438 0.000 2.290



8.
80
Lattice="-8.361 8.361 8.361 8.361 -8.361 8.361 8.361 8.361 -8.361" Properties=species:S:1:pos:R:3 comment="Ac12H5Pt3, optimized geometry, DFT PBE" space_group="No. 230" e_tot_ev_per_atom=-4.65 pbc="T T T"
Ac 2.582 -0.581 1.045
Ac 9.960 5.226 -4.762
Ac 7.780 -1.045 2.582
Ac 13.123 -1.599 3.136
Ac 10.944 0.581 1.045
Ac 9.960 -3.136 4.762
Ac 1.045 2.582 -0.581
Ac 11.497 3.600 -1.599
Ac 5.226 4.762 -1.599
Ac 7.316 2.582 0.581
Ac -0.581 1.045 2.582
Ac 4.762 -1.599 5.226
Ac 7.780 7.316 -2.582
Ac 4.762 1.599 3.136
Ac 7.316 -2.582 7.780
Ac 5.226 -4.762 9.960
Ac 3.136 4.762 1.599
Ac 9.406 5.779 0.581
Ac 2.582 7.780 -1.045
Ac 9.960 3.136 3.600
Ac 4.762 9.960 -3.136
Ac 7.780 1.045 5.779
Ac 1.599 3.136 4.762
Ac 2.582 0.581 7.316
Ac 5.779 7.780 1.045
Ac 6.763 5.226 3.600
Ac 0.581 7.316 2.582
Ac 3.600 -1.599 11.497
Ac -1.599 5.226 4.762
Ac 5.779 0.581 9.406
Ac -1.045 2.582 7.780
Ac 5.226 3.600 6.763
Ac 3.136 13.123 -1.599
Ac 1.045 10.944 0.581
Ac 3.600 6.763 5.226
Ac 0.581 1.045 10.944
Ac 3.600 9.960 3.136
Ac 8.943 7.316 5.779
Ac 1.045 5.779 7.780
Ac 3.136 3.600 9.960
Ac -3.136 4.762 9.960
Ac 7.316 5.779 8.943
Ac -1.599 11.497 3.600
Ac -2.582 7.780 7.316
Ac -4.762 9.960 5.226
Ac 0.581 9.406 5.779
Ac -1.599 3.136 13.123
Ac 5.779 8.943 7.316
H 0.000 0.000 0.000
H 4.181 4.181 -4.181
H 4.181 -4.181 4.181
H 8.361 0.000 0.000
H 12.542 2.090 0.000
H 8.361 -4.181 6.271
H 6.271 8.361 -4.181
H 6.271 0.000 4.181
H 4.181 6.271 0.000
H 8.361 4.181 2.090
H -4.181 4.181 4.181
H 0.000 8.361 0.000
H 0.000 0.000 8.361
H 4.181 4.181 4.181
H 0.000 4.181 6.271
H 4.181 2.090 8.361
H 2.090 8.361 4.181
H 2.090 0.000 12.542
H 0.000 12.542 2.090
H -4.181 6.271 8.361
Pt 4.181 2.090 0.000
Pt 8.361 4.181 -2.090
Pt 2.090 0.000 4.181
Pt 10.452 0.000 4.181
Pt 0.000 4.181 2.090
Pt 4.181 -2.090 8.361
Pt 4.181 10.452 0.000
Pt 8.361 4.181 6.271
Pt -2.090 8.361 4.181
Pt 6.271 8.361 4.181
Pt 0.000 4.181 10.452
Pt 4.181 6.271 8.361



9.
5
Lattice="5.608 0.000 0.000 0.000 5.608 0.000 0.000 0.000 5.573" Properties=species:S:1:pos:R:3 comment="ReSnSb2Te, optimized geometry, DFT PBE" e_above_lowest_polymorph_ev_per_atom=1.133 raw_formation_energy_mev_per_atom=1765.1 space_group="No. 123" pbc="T T T"
Re 0.000 0.000 0.000
Sn 2.804 2.804 2.786
Sb 0.000 2.804 2.786
Sb 2.804 0.000 2.786
Te 2.804 2.804 0.000



10.
9
Lattice="7.890 0.000 0.000 -3.945 6.833 0.000 0.000 0.000 3.417" Properties=species:S:1:pos:R:3 comment="DyTm2Al6, optimized geometry, DFT PBE" formation_enthalpy_0k_ev_per_atom=-0.49 space_group="No. 191" pbc="T T T"
Dy 0.000 0.000 0.000
Tm 0.000 4.555 0.000
Tm 3.945 2.278 0.000
Al -1.318 2.283 1.708
Al -2.627 4.550 1.708
Al 2.636 0.000 1.708
Al 1.318 2.283 1.708
Al 5.254 0.000 1.708
Al 2.627 4.550 1.708



11.
8
Lattice="8.118 0.000 0.000 -4.059 7.030 0.000 0.000 0.000 6.826" Properties=species:S:1:pos:R:3 comment="Ba3H, optimized geometry, DFT PBE" e_above_lowest_polymorph_ev_per_atom=0.613 space_group="No. 194" pbc="T T T"
Ba 0.000 2.371 1.707
Ba -2.006 5.845 1.707
Ba 2.053 1.186 5.120
Ba 2.006 5.845 1.707
Ba 6.065 1.186 5.120
Ba 4.059 4.659 5.120
H 0.000 4.687 5.120
H 4.059 2.343 1.707